Entry 1:
A geometry-optimized TlTe2Au structure, computed with PBE-GGA.

Computed properties:
total energy = -3.1252 eV per atom
calculated volume = 141 Å³/cell

a b c (Å): 4.8809 4.0950 7.0520
angles (deg): 90.00 94.35 90.00
Space group P2/m (No. 10)
One atom of each set of equivalent atoms:
Tl (0.0000, 0.0000, 0.0000) x1
Te (0.4739, 0.5000, 0.7488) x2
Au (0.5000, 0.0000, 0.5000) x1

=====

Entry 2:
A geometry-optimized NaAgSn3 structure, computed with PBE-GGA.

Computed properties:
total energy = -3.3119 eV per atom
E_form = -37 kJ/mol of formula units
calculated volume = 281 Å³/cell
energy above the most stable polymorph in this dataset = 12 meV per atom

a b c (Å): 6.7187 6.7361 7.0353
angles (deg): 90.00 118.03 90.00
Space group P2_1/m (No. 11)
One atom of each set of equivalent atoms:
Na (0.2094, 0.2500, 0.4763) x2
Ag (0.3800, 0.7500, 0.7289) x2
Sn (0.1939, 0.7500, 0.2914) x2
Sn (0.2431, 0.0118, 0.9717) x4

=====

Entry 3:
A geometry-optimized VBi2I structure, computed with PBE-GGA.

Computed properties:
total energy = -3.9064 eV per atom
calculated volume = 457 Å³/cell
energy above the most stable polymorph in this dataset = 130 meV per atom

a b c (Å): 7.7041 7.7041 7.7041
angles (deg): 90.00 90.00 90.00
Space group Fm-3m (No. 225)
One atom of each set of equivalent atoms:
V (0.0000, 0.0000, 0.0000) x4
Bi (0.2500, 0.2500, 0.2500) x8
I (0.0000, 0.0000, 0.5000) x4

=====

Entry 4:
A geometry-optimized Pu3Bi2H2 structure, computed with PBE-GGA.

Computed properties:
total energy = -8.5984 eV per atom
calculated volume = 304 Å³/cell
energy above the most stable polymorph in this dataset = 0 meV per atom

a b c (Å): 6.4723 6.0423 8.2475
angles (deg): 90.00 109.75 90.00
Space group P2_1/c (No. 14)
One atom of each set of equivalent atoms:
Pu (0.0000, 0.0000, 0.0000) x2
Pu (0.3724, 0.1193, 0.7867) x4
Bi (0.2217, 0.5970, 0.8947) x4
H (0.3541, 0.1173, 0.0669) x4

=====

Entry 5:
A geometry-optimized Na3TaV3Se8 structure, computed with PBE-GGA.

Computed properties:
total energy = -5.5749 eV per atom
calculated volume = 1011 Å³/cell

a b c (Å): 7.4104 7.4104 21.2600
angles (deg): 90.00 90.00 120.00
Space group R-3m (No. 166, hexagonal axes)
One atom of each set of equivalent atoms:
Na (0.0000, 0.5000, 0.0000) x9
Ta (0.0000, 0.0000, 0.5000) x3
V (0.0000, 0.5000, 0.5000) x9
Se (0.0000, 0.0000, 0.2351) x6
Se (0.0045, 0.5022, 0.7637) x18

=====

Entry 6:
A geometry-optimized LiYAu2 structure, computed with PBE-GGA.

Computed properties:
total energy = -4.2884 eV per atom
E_form = -214 kJ/mol of formula units
calculated volume = 314 Å³/cell
energy above the most stable polymorph in this dataset = 164 meV per atom

a b c (Å): 6.7947 6.7947 6.7947
angles (deg): 90.00 90.00 90.00
Space group F-43m (No. 216)
One atom of each set of equivalent atoms:
Li (0.0000, 0.0000, 0.0000) x4
Y (0.2500, 0.2500, 0.7500) x4
Au (0.0000, 0.0000, 0.5000) x4
Au (0.2500, 0.2500, 0.2500) x4

=====

Entry 7:
A geometry-optimized AlP2RhO structure, computed with PBE-GGA.

Computed properties:
total energy = -5.1212 eV per atom
calculated volume = 85 Å³/cell
energy above the most stable polymorph in this dataset = 285 meV per atom

a b c (Å): 4.8239 4.8239 3.6707
angles (deg): 90.00 90.00 90.00
Space group P4/mmm (No. 123)
One atom of each set of equivalent atoms:
Al (0.0000, 0.0000, 0.0000) x1
P (0.0000, 0.5000, 0.5000) x2
Rh (0.5000, 0.5000, 0.5000) x1
O (0.5000, 0.5000, 0.0000) x1

=====

Entry 8:
A geometry-optimized Tb2Al3Rh structure, computed with PBE-GGA.

Computed properties:
total energy = -5.3377 eV per atom
E_form = -404 kJ/mol of formula units
calculated volume = 349 Å³/cell

a b c (Å): 5.5213 5.5213 13.2133
angles (deg): 90.00 90.00 120.00
Space group R-3m (No. 166, hexagonal axes)
One atom of each set of equivalent atoms:
Tb (0.0000, 0.0000, 0.1254) x6
Al (0.0000, 0.5000, 0.0000) x9
Rh (0.0000, 0.0000, 0.5000) x3

=====

Entry 9:
A geometry-optimized DyEr2Sb structure, computed with PBE-GGA.

Computed properties:
total energy = -4.9213 eV per atom
calculated volume = 107 Å³/cell
energy above the most stable polymorph in this dataset = 85 meV per atom

a b c (Å): 4.7551 4.7551 4.7459
angles (deg): 90.00 90.00 90.00
Space group P4/mmm (No. 123)
One atom of each set of equivalent atoms:
Dy (0.0000, 0.0000, 0.0000) x1
Er (0.0000, 0.5000, 0.5000) x2
Sb (0.5000, 0.5000, 0.0000) x1

=====

Entry 10:
A geometry-optimized LaCeZnBi structure, computed with PBE-GGA.

Computed properties:
total energy = -4.4317 eV per atom
E_form = -165 kJ/mol of formula units
calculated volume = 463 Å³/cell

a b c (Å): 7.7364 7.7364 7.7364
angles (deg): 90.00 90.00 90.00
Space group F-43m (No. 216)
One atom of each set of equivalent atoms:
La (0.0000, 0.0000, 0.0000) x4
Ce (0.0000, 0.0000, 0.5000) x4
Zn (0.2500, 0.2500, 0.2500) x4
Bi (0.2500, 0.2500, 0.7500) x4

=====

Entry 11:
A geometry-optimized BeMo2N structure, computed with PBE-GGA.

Computed properties:
total energy = -7.7844 eV per atom
calculated volume = 177 Å³/cell
energy above the most stable polymorph in this dataset = 212 meV per atom

a b c (Å): 5.6113 5.6113 5.6113
angles (deg): 90.00 90.00 90.00
Space group Fm-3m (No. 225)
One atom of each set of equivalent atoms:
Be (0.0000, 0.0000, 0.0000) x4
Mo (0.2500, 0.2500, 0.2500) x8
N (0.0000, 0.0000, 0.5000) x4

=====

Entry 12:
A geometry-optimized NbIr8Rh2 structure, computed with PBE-GGA.

Computed properties:
total energy = -8.5135 eV per atom
E_form = 194 kJ/mol of formula units
calculated volume = 345 Å³/cell

a b c (Å): 7.0659 12.2685 4.6466
angles (deg): 90.00 121.08 90.00
Space group C2/m (No. 12)
One atom of each set of equivalent atoms:
Nb (0.0000, 0.0000, 0.0000) x2
Ir (0.0000, 0.2145, 0.0000) x4
Ir (0.0681, 0.5000, 0.7994) x4
Ir (0.2067, 0.1171, 0.6616) x8
Rh (0.0000, 0.3102, 0.5000) x4

=====

- What is the total energy in the seventh record?
  -5.1212 eV per atom

=====

- Among the records above, which one has the lowest calculated volume?
  AlP2RhO

=====

Copy entry 3 word for word.
A geometry-optimized VBi2I structure, computed with PBE-GGA.

Computed properties:
total energy = -3.9064 eV per atom
calculated volume = 457 Å³/cell
energy above the most stable polymorph in this dataset = 130 meV per atom

a b c (Å): 7.7041 7.7041 7.7041
angles (deg): 90.00 90.00 90.00
Space group Fm-3m (No. 225)
One atom of each set of equivalent atoms:
V (0.0000, 0.0000, 0.0000) x4
Bi (0.2500, 0.2500, 0.2500) x8
I (0.0000, 0.0000, 0.5000) x4

=====

- Among the records above, which one has the highest calculated volume?
  Na3TaV3Se8